[1]
This record from the Alexandria database describes an optimized crystal structure of Tb7BI12. The functional is PBE.

Geometry as POSCAR:
```
Tb7BI12
1.0
-0.826 8.887 -3.699
5.223 -5.292 -6.169
-8.850 -3.851 0.435
Tb I B
7 12 1
Direct
0.099 0.032 0.293 Tb
0.293 0.099 0.032 Tb
0.032 0.293 0.099 Tb
0.968 0.707 0.901 Tb
0.901 0.968 0.707 Tb
0.707 0.901 0.968 Tb
0.500 0.500 0.500 Tb
0.469 0.153 0.389 I
0.389 0.469 0.153 I
0.313 0.774 0.922 I
0.922 0.313 0.774 I
0.687 0.226 0.078 I
0.611 0.531 0.847 I
0.153 0.389 0.469 I
0.078 0.687 0.226 I
0.531 0.847 0.611 I
0.847 0.611 0.531 I
0.774 0.922 0.313 I
0.226 0.078 0.687 I
0.000 0.000 0.000 B
```

## Properties
The density of states at the Fermi level is 0.5348 states/eV per atom. Its formation energy from raw total energies is -1.21 eV/atom.

***

[2]
This record from the Alexandria database describes an optimized crystal structure of Pa2CoSi4Rh3. The functional is PBE.

Geometry as POSCAR:
```
Pa2CoSi4Rh3
1.0
4.056 0.000 0.000
0.000 4.056 0.000
0.000 0.000 9.863
Co Rh Pa Si
1 3 2 4
Direct
0.500 0.500 0.500 Co
0.000 0.000 0.500 Rh
0.500 0.000 0.870 Rh
0.000 0.500 0.130 Rh
0.500 0.000 0.254 Pa
0.000 0.500 0.746 Pa
0.000 0.500 0.372 Si
0.000 0.000 0.000 Si
0.500 0.000 0.628 Si
0.500 0.500 0.000 Si
```

## Properties
The density of states at the Fermi level is 0.4396 states/eV per atom. Its formation energy from raw total energies is -0.90 eV/atom.

***

[3]
This record from the Alexandria database describes an optimized crystal structure of Er3CdGa. The functional is PBE.

Geometry as POSCAR:
```
Er3CdGa
1.0
4.923 0.000 1.125
0.000 5.046 0.000
0.227 0.000 10.340
Cd Er Ga
2 6 2
Direct
0.981 0.250 0.687 Cd
0.668 0.750 0.313 Cd
0.574 0.250 0.500 Er
0.388 0.250 0.873 Er
0.887 0.750 0.874 Er
0.261 0.750 0.127 Er
0.074 0.750 0.500 Er
0.761 0.250 0.126 Er
0.166 0.250 0.317 Ga
0.483 0.750 0.683 Ga
```

## Properties
The density of states at the Fermi level is 0.9873 states/eV per atom. The value obtained for the energy of formation from the pure elements is -339.4 meV per atom.

***

[4]
This record from the Alexandria database describes an optimized crystal structure of Mg2AlGe2Ir5. The functional is PBE.

Geometry as POSCAR:
```
Mg2AlGe2Ir5
1.0
-2.796 0.108 -2.098
-4.986 -4.962 6.388
-2.779 8.098 4.121
Ir Ge Al Mg
10 4 2 4
Direct
0.500 0.570 0.698 Ir
0.500 0.070 0.802 Ir
0.500 0.500 0.000 Ir
0.500 0.802 0.930 Ir
0.500 0.198 0.070 Ir
0.500 0.930 0.198 Ir
0.500 0.000 0.500 Ir
0.500 0.302 0.570 Ir
0.500 0.698 0.430 Ir
0.500 0.430 0.302 Ir
0.000 0.131 0.631 Ge
0.000 0.369 0.131 Ge
0.000 0.631 0.869 Ge
0.000 0.869 0.369 Ge
0.000 0.500 0.500 Al
0.000 0.000 0.000 Al
0.000 0.170 0.330 Mg
0.000 0.670 0.170 Mg
0.000 0.830 0.670 Mg
0.000 0.330 0.830 Mg
```

## Properties
The density of states at the Fermi level is 0.5128 states/eV per atom. The value obtained for the energy of formation from the pure elements is -363.6 meV per atom.

***

[5]
This record from the Alexandria database describes an optimized crystal structure of Tb2ThPaTc2. The functional is PBE.

Geometry as POSCAR:
```
Tb2ThPaTc2
1.0
6.844 0.000 0.000
0.000 7.072 0.000
-3.422 -3.536 6.653
Tb Tc Th Pa
4 4 2 2
Direct
0.305 0.113 0.610 Tb
0.195 0.503 0.390 Tb
0.695 0.887 0.390 Tb
0.805 0.497 0.610 Tb
0.595 0.377 0.190 Tc
0.095 0.813 0.190 Tc
0.405 0.623 0.810 Tc
0.905 0.187 0.810 Tc
0.250 0.000 0.000 Th
0.750 0.000 0.000 Th
0.250 0.500 0.000 Pa
0.750 0.500 0.000 Pa
```

## Properties
The density of states at the Fermi level is 0.9764 states/eV per atom. The value obtained for the energy of formation from the pure elements is -65.6 meV per atom.

***

[6]
This record from the Alexandria database describes an optimized crystal structure of CaY2F. The functional is PBE.

Geometry as POSCAR:
```
CaY2F
1.0
0.000 3.905 3.905
3.905 0.000 3.905
3.905 3.905 0.000
F Ca Y
1 1 2
Direct
0.000 0.000 0.000 F
0.500 0.500 0.500 Ca
0.750 0.750 0.750 Y
0.250 0.250 0.250 Y
```

## Properties
The density of states at the Fermi level is 1.3139 states/eV per atom. Its formation energy from raw total energies is -0.08 eV/atom. Its offset from the most stable computed form is 985 meV/atom.

***

[7]
This record from the Alexandria database describes an optimized crystal structure of Ce6Co2Au. The functional is PBE.

Geometry as POSCAR:
```
Ce6Co2Au
1.0
7.524 0.604 -3.396
-4.056 6.983 -1.816
-0.226 -0.604 8.252
Ce Co Au
12 4 2
Direct
0.205 0.431 0.226 Ce
0.795 0.569 0.774 Ce
0.119 0.816 0.303 Ce
0.881 0.184 0.697 Ce
0.299 0.673 0.973 Ce
0.487 0.184 0.303 Ce
0.701 0.327 0.027 Ce
0.701 0.673 0.374 Ce
0.205 0.979 0.774 Ce
0.513 0.816 0.697 Ce
0.299 0.327 0.626 Ce
0.795 0.021 0.226 Ce
0.500 0.864 0.364 Co
0.646 0.646 0.000 Co
0.354 0.354 0.000 Co
0.500 0.136 0.636 Co
0.000 0.000 0.000 Au
0.000 0.500 0.500 Au
```

## Properties
The density of states at the Fermi level is 2.9803 states/eV per atom. The value obtained for the energy of formation from the pure elements is -185.7 meV per atom.

***

[8]
This record from the Alexandria database describes an optimized crystal structure of TbTiRh2. The functional is PBE.

Geometry as POSCAR:
```
TbTiRh2
1.0
4.633 0.000 0.000
2.317 4.012 0.000
2.317 1.337 3.783
Ti Tb Rh
1 1 2
Direct
0.500 0.500 0.500 Ti
0.000 0.000 0.000 Tb
0.250 0.250 0.250 Rh
0.750 0.750 0.750 Rh
```

## Properties
The density of states at the Fermi level is 0.7760 states/eV per atom. The value obtained for the energy of formation from the pure elements is -667.9 meV per atom. Its offset from the most stable computed form is 84 meV/atom.

***

[9]
This record from the Alexandria database describes an optimized crystal structure of Mn2AlAu. The functional is PBE.

Geometry as POSCAR:
```
Mn2AlAu
1.0
4.806 0.107 -0.077
3.872 2.848 -0.077
1.138 0.388 4.494
Mn Al Au
2 1 1
Direct
0.004 0.004 0.976 Mn
0.752 0.752 0.761 Mn
0.498 0.498 0.501 Al
0.247 0.247 0.262 Au
```

## Properties
The density of states at the Fermi level is 0.7594 states/eV per atom. The value obtained for the energy of formation from the pure elements is -23.2 meV per atom. Its offset from the most stable computed form is 102 meV/atom.

***

[10]
This record from the Alexandria database describes an optimized crystal structure of KNa2Tl. The functional is PBE.

Geometry as POSCAR:
```
KNa2Tl
1.0
-2.351 -5.253 -1.146
-5.277 -0.361 -2.542
-0.464 -1.860 -5.546
K Tl Na
1 1 2
Direct
0.000 0.000 0.000 K
0.500 0.500 0.500 Tl
0.250 0.250 0.250 Na
0.750 0.750 0.750 Na
```

## Properties
The density of states at the Fermi level is 0.9547 states/eV per atom. The value obtained for the energy of formation from the pure elements is -30.7 meV per atom. Its offset from the most stable computed form is 23 meV/atom.

***

[11]
This record from the Alexandria database describes an optimized crystal structure of Sn2Sb2Au. The functional is PBE.

Geometry as POSCAR:
```
Sn2Sb2Au
1.0
-2.516 5.815 -4.457
-7.104 -0.782 2.989
1.105 3.116 3.442
Au Sn Sb
2 4 4
Direct
0.500 0.500 0.000 Au
0.000 0.000 0.000 Au
0.820 0.680 0.000 Sn
0.680 0.180 0.000 Sn
0.180 0.320 0.000 Sn
0.320 0.820 0.000 Sn
0.631 0.869 0.500 Sb
0.131 0.631 0.500 Sb
0.369 0.131 0.500 Sb
0.869 0.369 0.500 Sb
```

## Properties
The density of states at the Fermi level is 0.6353 states/eV per atom. Its formation energy from raw total energies is 0.18 eV/atom. Its offset from the most stable computed form is 166 meV/atom.

***

[12]
This record from the Alexandria database describes an optimized crystal structure of LiZrIn4O8. The functional is PBE.

Geometry as POSCAR:
```
LiZrIn4O8
1.0
-4.963 -0.642 -4.236
0.949 -3.054 -5.723
-2.642 -5.795 -1.101
O Zr In Li
8 1 4 1
Direct
0.254 0.254 0.736 O
0.758 0.758 0.262 O
0.221 0.758 0.262 O
0.246 0.246 0.262 O
0.758 0.221 0.262 O
0.757 0.757 0.729 O
0.756 0.254 0.736 O
0.254 0.756 0.736 O
0.379 0.379 0.864 Zr
0.998 0.506 0.497 In
0.620 0.620 0.141 In
0.506 0.998 0.497 In
0.998 0.998 0.497 In
0.993 0.993 0.020 Li
```

## Properties
The density of states at the Fermi level is 0.1118 states/eV per atom. Its formation energy from raw total energies is -1.84 eV/atom.

***

[13]
This record from the Alexandria database describes an optimized crystal structure of NaScOsO6. The functional is PBE.

Geometry as POSCAR:
```
NaScOsO6
1.0
5.320 0.000 0.000
2.660 4.607 0.000
0.000 0.000 5.094
O Na Sc Os
6 1 1 1
Direct
0.358 0.032 0.710 O
0.358 0.610 0.290 O
0.610 0.358 0.710 O
0.032 0.358 0.290 O
0.610 0.032 0.290 O
0.032 0.610 0.710 O
0.000 0.000 0.000 Na
0.667 0.667 0.500 Sc
0.333 0.333 0.500 Os
```

## Properties
Its formation energy from raw total energies is -1.73 eV/atom.

***

[14]
This record from the Alexandria database describes an optimized crystal structure of HoTlCdAg. The functional is PBE.

Geometry as POSCAR:
```
HoTlCdAg
1.0
-2.713 -1.814 -3.883
-4.205 -2.694 0.884
-4.548 1.978 -1.059
Tl Cd Ag Ho
1 1 1 1
Direct
0.500 0.500 0.500 Tl
0.750 0.750 0.750 Cd
0.000 0.000 0.000 Ag
0.250 0.250 0.250 Ho
```

## Properties
The density of states at the Fermi level is 0.7695 states/eV per atom. The value obtained for the energy of formation from the pure elements is -205.9 meV per atom.

***

[15]
This record from the Alexandria database describes an optimized crystal structure of Y3PdO. The functional is PBE.

Geometry as POSCAR:
```
Y3PdO
1.0
-0.562 3.625 -0.004
-7.724 -1.198 0.022
-2.311 -0.351 7.477
Y O Pd
6 2 2
Direct
0.363 0.018 0.070 Y
0.863 0.009 0.694 Y
0.863 0.748 0.431 Y
0.863 0.641 0.062 Y
0.863 0.380 0.799 Y
0.363 0.370 0.423 Y
0.363 0.194 0.746 O
0.363 0.694 0.246 O
0.363 0.694 0.746 Pd
0.863 0.194 0.247 Pd
```

## Properties
The density of states at the Fermi level is 0.6134 states/eV per atom. Its formation energy from raw total energies is -1.41 eV/atom.

***

[16]
This record from the Alexandria database describes an optimized crystal structure of LaPr4Sm10. The functional is PBE.

Geometry as POSCAR:
```
LaPr4Sm10
1.0
-6.623 4.187 8.369
-9.005 -0.207 0.830
-2.857 -4.001 7.593
Sm La Pr
10 1 4
Direct
0.289 0.655 0.102 Sm
0.609 0.102 0.345 Sm
0.955 0.655 0.102 Sm
0.391 0.898 0.655 Sm
0.056 0.898 0.655 Sm
0.250 0.500 0.500 Sm
0.045 0.345 0.898 Sm
0.944 0.102 0.345 Sm
0.711 0.345 0.898 Sm
0.750 0.500 0.500 Sm
0.000 0.000 0.000 La
0.441 0.363 0.755 Pr
0.196 0.245 0.363 Pr
0.559 0.637 0.245 Pr
0.804 0.755 0.637 Pr
```

## Properties
The density of states at the Fermi level is 1.7009 states/eV per atom. The value obtained for the energy of formation from the pure elements is 399.1 meV per atom.

***

[17]
This record from the Alexandria database describes an optimized crystal structure of Pm6HoZn2. The functional is PBE.

Geometry as POSCAR:
```
Pm6HoZn2
1.0
-3.015 0.895 -1.947
-3.153 -5.693 -1.250
-7.971 -0.652 8.527
Pm Zn Ho
6 2 1
Direct
0.312 0.784 0.592 Pm
0.689 0.498 0.124 Pm
0.688 0.216 0.408 Pm
0.027 0.272 0.674 Pm
0.973 0.728 0.326 Pm
0.311 0.502 0.876 Pm
0.644 0.907 0.805 Zn
0.356 0.093 0.195 Zn
0.000 0.000 0.000 Ho
```

## Properties
The density of states at the Fermi level is 1.0374 states/eV per atom. The value obtained for the energy of formation from the pure elements is -136.7 meV per atom.

***

[18]
This record from the Alexandria database describes an optimized crystal structure of La2TbSm6. The functional is PBE.

Geometry as POSCAR:
```
La2TbSm6
1.0
-0.929 3.152 -1.585
-0.646 -3.159 -1.706
-24.423 -1.318 11.694
Sm La Tb
6 2 1
Direct
0.333 0.667 0.214 Sm
0.333 0.667 0.562 Sm
0.667 0.333 0.107 Sm
0.333 0.667 0.786 Sm
0.333 0.667 0.438 Sm
0.667 0.333 0.893 Sm
0.667 0.333 0.329 La
0.667 0.333 0.671 La
0.333 0.667 0.000 Tb
```

## Properties
The density of states at the Fermi level is 1.7769 states/eV per atom. The value obtained for the energy of formation from the pure elements is 63.3 meV per atom. Its offset from the most stable computed form is 41 meV/atom.

***

[19]
This record from the Alexandria database describes an optimized crystal structure of KCrTe2. The functional is PBE.

Geometry as POSCAR:
```
KCrTe2
1.0
-2.493 7.308 4.132
-6.836 4.222 3.484
5.214 -6.889 -1.434
Cr Te K
1 2 1
Direct
0.550 0.550 0.000 Cr
0.668 0.168 0.500 Te
0.979 0.979 0.000 Te
0.302 0.802 0.500 K
```

## Properties
The density of states at the Fermi level is 0.4623 states/eV per atom. Its formation energy from raw total energies is -0.32 eV/atom.

***

[20]
This record from the Alexandria database describes an optimized crystal structure of AcTaSb. The functional is PBE.

Geometry as POSCAR:
```
AcTaSb
1.0
-1.485 1.094 -4.398
-1.711 -3.762 -0.358
-8.627 1.328 3.244
Ta Ac Sb
2 2 2
Direct
0.750 0.274 0.453 Ta
0.250 0.726 0.547 Ta
0.750 0.100 0.800 Ac
0.250 0.900 0.200 Ac
0.250 0.572 0.855 Sb
0.750 0.428 0.145 Sb
```

## Properties
The density of states at the Fermi level is 0.9666 states/eV per atom. Its formation energy from raw total energies is 0.17 eV/atom.

***

[21]
This record from the Alexandria database describes an optimized crystal structure of NaMg2S2. The functional is PBE.

Geometry as POSCAR:
```
NaMg2S2
1.0
-3.176 2.615 1.543
-3.033 -2.832 -1.445
-2.831 -4.389 7.867
S Mg Na
2 2 1
Direct
0.315 0.315 0.370 S
0.685 0.685 0.630 S
0.250 0.750 0.500 Mg
0.750 0.250 0.500 Mg
0.000 0.000 0.000 Na
```

## Properties
The density of states at the Fermi level is 0.2421 states/eV per atom. Its formation energy from raw total energies is -0.88 eV/atom.

***

[22]
This record from the Alexandria database describes an optimized crystal structure of TlPb3C. The functional is PBE.

Geometry as POSCAR:
```
TlPb3C
1.0
5.149 0.000 0.000
0.000 5.149 0.000
0.000 0.000 5.149
Pb C Tl
3 1 1
Direct
0.000 0.500 0.000 Pb
0.000 0.000 0.500 Pb
0.500 0.000 0.000 Pb
0.000 0.000 0.000 C
0.500 0.500 0.500 Tl
```

## Properties
The density of states at the Fermi level is 0.8166 states/eV per atom. The value obtained for the energy of formation from the pure elements is 857.3 meV per atom. Its offset from the most stable computed form is 0 meV/atom.

***

[23]
This record from the Alexandria database describes an optimized crystal structure of Er2PaPt9. The functional is PBE.

Geometry as POSCAR:
```
Er2PaPt9
1.0
4.133 0.000 0.000
0.000 4.133 0.000
0.000 0.000 12.337
Pt Er Pa
9 2 1
Direct
0.500 0.500 0.667 Pt
0.000 0.500 0.500 Pt
0.000 0.500 0.165 Pt
0.500 0.000 0.835 Pt
0.500 0.500 0.333 Pt
0.500 0.000 0.165 Pt
0.000 0.500 0.835 Pt
0.500 0.500 0.000 Pt
0.500 0.000 0.500 Pt
0.000 0.000 0.662 Er
0.000 0.000 0.338 Er
0.000 0.000 0.000 Pa
```

## Properties
The density of states at the Fermi level is 0.2219 states/eV per atom. The value obtained for the energy of formation from the pure elements is -1100.4 meV per atom.